This record from the Alexandria database describes crystalline MgAl2Os at its relaxed geometry. The functional is PBEsol.

abc: 2.7975 5.0927 5.0927
angles: 115.51 101.71 101.71
Last column: nearest neighbours and their distance in Å.
Fractional positions:
Al  0.0000  0.0000  0.5000  2 Os 2.64, 2 Mg 2.64, 4 Al 2.72-2.80
Al  0.0000  0.5000  0.0000  2 Mg 2.64, 2 Os 2.64, 4 Al 2.72-2.80
Mg  0.5000  0.5000  0.5000  4 Al 2.64, 2 Os 2.72, 2 Mg 2.80
Os  0.5000  0.0000  0.0000  4 Al 2.64, 2 Mg 2.72, 2 Os 2.80

formation enthalpy at 0 K	67	meV per atom
N(E_F)	0.669	states/eV/atom
symmetry	C2/m
relative energy among the computed polymorphs	0.275	eV per atom

This record from the Alexandria database describes crystalline Ga2HgTe4 at its relaxed geometry. The functional is PBEsol.

abc: 5.9342 5.9342 7.4409
angles: 113.50 113.50 90.00
Last column: nearest neighbours and their distance in Å.
Fractional positions:
Hg  0.0000  0.0000  0.0000  4 Te 2.81
Te  0.5952  0.1646  0.7598  2 Ga 2.65, 1 Hg 2.81
Te  0.4048  0.4048  0.2402  2 Ga 2.65, 1 Hg 2.81
Te  0.8354  0.8354  0.2402  2 Ga 2.65, 1 Hg 2.81
Te  0.1646  0.5952  0.7598  2 Ga 2.65, 1 Hg 2.81
Ga  0.2500  0.7500  0.5000  4 Te 2.65
Ga  0.7500  0.2500  0.5000  4 Te 2.65

N(E_F)	0.001	states/eV/atom
symmetry	I-42m
relative energy among the computed polymorphs	0.009	eV per atom
formation energy without anion corrections	-0.25	eV/atom

This record from the Alexandria database describes crystalline NbGa2BiTe at its relaxed geometry. The functional is PBEsol.

abc: 5.0790 5.0790 5.2619
angles: 90.00 90.00 90.00
Last column: nearest neighbours and their distance in Å.
Fractional positions:
Bi  0.5000  0.5000  0.5000  4 Te 3.59, 8 Ga 3.66
Ga  0.0000  0.5000  0.0000  2 Nb 2.54
Ga  0.5000  0.0000  0.0000  2 Nb 2.54
Te  0.0000  0.0000  0.5000  2 Nb 2.63
Nb  0.0000  0.0000  0.0000  4 Ga 2.54, 2 Te 2.63

N(E_F)	0.901	states/eV/atom
symmetry	P4/mmm
formation energy without anion corrections	0.46	eV/atom

This record from the Alexandria database describes crystalline KTlSb at its relaxed geometry. The functional is PBEsol.

abc: 3.4983 4.3352 6.8208
angles: 108.53 104.86 90.00
Last column: nearest neighbours and their distance in Å.
Fractional positions:
Tl  0.3133  0.3133  0.6266  4 Sb 3.21, 2 Tl 3.50
K  0.0009  0.0009  0.0019  2 K 3.50, 4 Sb 3.61, 5 Tl 3.64-3.89
Sb  0.6858  0.6858  0.3715  4 Tl 3.21, 2 Sb 3.50

N(E_F)	0.306	states/eV/atom
symmetry	Imm2
relative energy among the computed polymorphs	0.000	eV per atom
formation energy without anion corrections	-0.22	eV/atom

This record from the Alexandria database describes crystalline Pr4CdPd at its relaxed geometry. The functional is PBEsol.

abc: 9.8931 9.8931 9.8931
angles: 60.00 60.00 60.00
Last column: nearest neighbours and their distance in Å.
Fractional positions:
Pr  0.0557  0.4443  0.0557  2 Pd 2.93
Pr  0.0557  0.4443  0.4443  2 Pd 2.93
Pr  0.8983  0.3052  0.8983  3 Pd 2.91
Pr  0.8983  0.8983  0.8983  3 Pd 2.91
Pr  0.3052  0.8983  0.8983  3 Pd 2.91
Pr  0.3138  0.6862  0.3138  2 Cd 3.38, 2 Pd 3.58, 10 Pr 3.59-3.69
Pr  0.4443  0.4443  0.0557  2 Pd 2.93
Pr  0.6862  0.6862  0.3138  2 Cd 3.38, 2 Pd 3.58, 10 Pr 3.59-3.69
Pr  0.8983  0.8983  0.3052  3 Pd 2.91
Pr  0.4443  0.0557  0.4443  2 Pd 2.93
Pr  0.6862  0.3138  0.3138  2 Cd 3.38, 2 Pd 3.58, 10 Pr 3.59-3.69
Pr  0.6862  0.3138  0.6862  2 Cd 3.38, 2 Pd 3.58, 10 Pr 3.59-3.69
Pr  0.3138  0.6862  0.6862  2 Cd 3.38, 2 Pd 3.58, 10 Pr 3.59-3.69
Pr  0.3138  0.3138  0.6862  2 Cd 3.38, 2 Pd 3.58, 10 Pr 3.59-3.69
Pr  0.4443  0.0557  0.0557  2 Pd 2.93
Pr  0.0557  0.0557  0.4443  2 Pd 2.93
Cd  0.6707  0.6707  0.6707  3 Cd 3.14, 6 Pr 3.38-3.46
Cd  0.6707  0.6707  0.9879  3 Cd 3.14, 6 Pr 3.38-3.46
Cd  0.6707  0.9879  0.6707  3 Cd 3.14, 6 Pr 3.38-3.46
Cd  0.9879  0.6707  0.6707  3 Cd 3.14, 6 Pr 3.38-3.46
Pd  0.1062  0.1062  0.6814  6 Pr 2.91-2.93
Pd  0.1062  0.6814  0.1062  6 Pr 2.91-2.93
Pd  0.1062  0.1062  0.1062  6 Pr 2.91-2.93
Pd  0.6814  0.1062  0.1062  6 Pr 2.91-2.93

formation enthalpy at 0 K	-379	meV per atom
N(E_F)	0.797	states/eV/atom
symmetry	F-43m

This record from the Alexandria database describes crystalline Ho2Mo4O15 at its relaxed geometry. The functional is PBEsol.

abc: 6.7241 9.5464 10.5452
angles: 90.00 105.13 90.00
Last column: nearest neighbours and their distance in Å.
Fractional positions:
O  0.4487  0.9724  0.7060  1 Mo 1.75
O  0.7822  0.6523  0.0832  1 Mo 1.75
O  0.9753  0.1273  0.6029  1 Mo 1.75
O  0.5000  0.0000  0.0000  2 Mo 1.87
O  0.5513  0.0276  0.2940  1 Mo 1.75
O  0.1191  0.6637  0.5982  1 Mo 1.76
O  0.9753  0.3727  0.1029  1 Mo 1.75
O  0.8809  0.1637  0.9018  1 Mo 1.76
O  0.1191  0.8363  0.0982  1 Mo 1.76
O  0.2492  0.1351  0.1176  1 Mo 1.79
O  0.5000  0.5000  0.5000  2 Mo 1.87
O  0.3860  0.7777  0.3496  1 Mo 1.74
O  0.0247  0.8727  0.3971  1 Mo 1.75
O  0.6140  0.2223  0.6504  1 Mo 1.74
O  0.8776  0.4455  0.6830  1 Mo 1.74
O  0.4487  0.5276  0.2060  1 Mo 1.75
O  0.3860  0.7223  0.8496  1 Mo 1.74
O  0.0247  0.6273  0.8971  1 Mo 1.75
O  0.7508  0.8649  0.8824  1 Mo 1.79
O  0.2178  0.3477  0.9168  1 Mo 1.75
O  0.6140  0.2777  0.1504  1 Mo 1.74
O  0.5513  0.4724  0.7940  1 Mo 1.75
O  0.1224  0.9455  0.8170  1 Mo 1.74
O  0.7508  0.6351  0.3824  1 Mo 1.79
O  0.2492  0.3649  0.6176  1 Mo 1.79
O  0.7822  0.8477  0.5832  1 Mo 1.75
O  0.2178  0.1523  0.4168  1 Mo 1.75
O  0.1224  0.5545  0.3170  1 Mo 1.74
O  0.8809  0.3363  0.4018  1 Mo 1.76
O  0.8776  0.0545  0.1830  1 Mo 1.74
Mo  0.6173  0.4045  0.6565  4 O 1.74-1.87
Mo  0.9190  0.7444  0.9892  4 O 1.75-1.79
Mo  0.0810  0.2444  0.5108  4 O 1.75-1.79
Mo  0.3827  0.9045  0.8435  4 O 1.74-1.87
Mo  0.3827  0.5955  0.3435  4 O 1.74-1.87
Mo  0.9190  0.7556  0.4892  4 O 1.75-1.79
Mo  0.6173  0.0955  0.1565  4 O 1.74-1.87
Mo  0.0810  0.2556  0.0108  4 O 1.75-1.79
Ho  0.7893  0.4770  0.2247  7 O 2.23-2.32
Ho  0.2107  0.5230  0.7753  7 O 2.23-2.32
Ho  0.2107  0.9770  0.2753  7 O 2.23-2.32
Ho  0.7893  0.0230  0.7247  7 O 2.23-2.32

N(E_F)	0.000	states/eV/atom
symmetry	P2_1/c
formation energy without anion corrections	-2.44	eV/atom

This record from the Alexandria database describes crystalline Cu2SO4 at its relaxed geometry. The functional is PBEsol.

abc: 4.3452 5.8369 7.6155
angles: 83.90 73.42 68.15
Last column: nearest neighbours and their distance in Å.
Fractional positions:
O  0.4448  0.8428  0.8790  1 S 1.49
O  0.6762  0.1572  0.8790  1 S 1.49
O  0.7124  0.8428  0.1210  1 S 1.49
O  0.0376  0.6572  0.3790  1 S 1.49
O  0.5834  0.3428  0.3790  1 S 1.49
O  0.3052  0.6572  0.6210  1 S 1.49
O  0.1666  0.1572  0.1210  1 S 1.49
O  0.0738  0.3428  0.6210  1 S 1.49
S  0.5000  0.0000  0.0000  4 O 1.49
S  0.2500  0.5000  0.5000  4 O 1.49
Cu  0.1959  0.0000  0.6081  2 O 1.88
Cu  0.8041  0.0000  0.3919  2 O 1.88
Cu  0.9459  0.5000  0.1081  2 O 1.88
Cu  0.5541  0.5000  0.8919  2 O 1.88

symmetry	Fddd
formation energy without anion corrections	-0.87	eV/atom

This record from the Alexandria database describes crystalline BeRe3 at its relaxed geometry. The functional is PBEsol.

abc: 3.7368 3.7368 4.6798
angles: 113.53 113.53 90.00
Last column: nearest neighbours and their distance in Å.
Fractional positions:
Re  0.5000  0.5000  0.0000  4 Be 2.64, 8 Re 2.69
Re  0.2500  0.7500  0.5000  8 Re 2.64-2.69, 4 Be 2.69
Re  0.7500  0.2500  0.5000  8 Re 2.64-2.69, 4 Be 2.69
Be  0.0000  0.0000  0.0000  12 Re 2.64-2.69

formation enthalpy at 0 K	231	meV per atom
N(E_F)	0.665	states/eV/atom
symmetry	I4/mmm
relative energy among the computed polymorphs	0.063	eV per atom

This record from the Alexandria database describes crystalline BaSr2Ca at its relaxed geometry. The functional is PBEsol.

abc: 4.6620 6.5491 7.6676
angles: 115.28 107.70 90.00
Last column: nearest neighbours and their distance in Å.
Fractional positions:
Ca  0.2533  0.7533  0.5066  6 Sr 3.92-4.02, 2 Ba 4.00
Ba  0.5044  0.5044  0.0088  2 Ca 4.00, 6 Sr 4.02-4.08
Sr  0.9947  0.9947  0.9893  2 Ca 3.92, 4 Ba 4.02, 2 Sr 4.04
Sr  0.7476  0.2476  0.4953  4 Ca 4.02, 2 Sr 4.04, 2 Ba 4.08

formation enthalpy at 0 K	18	meV per atom
N(E_F)	1.131	states/eV/atom
symmetry	Imm2
relative energy among the computed polymorphs	0.004	eV per atom

This record from the Alexandria database describes crystalline Ga3AgRh at its relaxed geometry. The functional is PBEsol.

abc: 4.6948 4.6948 4.6948
angles: 90.00 90.00 90.00
Last column: nearest neighbours and their distance in Å.
Fractional positions:
Rh  0.5000  0.5000  0.5000  12 Ga 3.32
Ga  0.0000  0.0000  0.5000  2 Ag 2.35
Ga  0.5000  0.0000  0.0000  2 Ag 2.35
Ga  0.0000  0.5000  0.0000  2 Ag 2.35
Ag  0.0000  0.0000  0.0000  6 Ga 2.35

formation enthalpy at 0 K	865	meV per atom
N(E_F)	1.104	states/eV/atom
symmetry	Pm-3m

This record from the Alexandria database describes crystalline InAg2Ru at its relaxed geometry. The functional is PBEsol.

abc: 3.9412 3.9412 5.0987
angles: 112.74 112.74 90.00
Last column: nearest neighbours and their distance in Å.
Fractional positions:
In  0.5000  0.5000  0.0000  4 Ru 2.79, 8 Ag 2.91
Ag  0.7500  0.2500  0.5000  4 Ag 2.79, 4 In 2.91, 4 Ru 2.91
Ag  0.2500  0.7500  0.5000  4 Ag 2.79, 4 In 2.91, 4 Ru 2.91
Ru  0.0000  0.0000  0.0000  4 In 2.79, 8 Ag 2.91

formation enthalpy at 0 K	292	meV per atom
N(E_F)	0.799	states/eV/atom
symmetry	I4/mmm

This record from the Alexandria database describes crystalline OsAuSe2 at its relaxed geometry. The functional is PBEsol.

abc: 2.9355 2.9355 8.5385
angles: 90.00 90.00 90.00
Last column: nearest neighbours and their distance in Å.
Fractional positions:
Se  0.5000  0.5000  0.2831  4 Se 2.94, 4 Au 2.94
Se  0.0000  0.0000  0.9253  4 Os 2.49
Os  0.5000  0.5000  0.7641  4 Se 2.49
Au  0.0000  0.0000  0.5275  4 Os 2.90, 4 Au 2.94, 4 Se 2.94

N(E_F)	0.574	states/eV/atom
symmetry	P4mm
relative energy among the computed polymorphs	0.163	eV per atom
formation energy without anion corrections	0.32	eV/atom